(1)
# Pm8NdGe6

A relaxed structure of Pm8NdGe6 (PBE-GGA, Alexandria via LeMat-Bulk).

Cell lengths 7.9584, 7.9584, 24.4321 Å; angles 90.00, 90.00, 120.00 degrees
Space group R-3 (No. 148, hexagonal axes)
Symmetry-distinct sites (fractional):
1 Pm 0.0000 0.0000 0.1667 (multiplicity 6)
2 Pm 0.9997 0.3325 0.6186 (multiplicity 18)
3 Nd 0.0000 0.0000 0.5000 (multiplicity 3)
4 Ge 0.9996 0.3343 0.4301 (multiplicity 18)

Results
The value obtained for the total magnetic moment is 0.0 μB/f.u. For the calculated total energy, the calculation gives -0.19514 Ha/atom. For the density of states at the Fermi level, the calculation gives 0.569 states/eV per atom. As for the formation energy: -0.612 eV/atom.



(2)
# Ca4Si5

A relaxed structure of Ca4Si5 (PBE-GGA, Alexandria via LeMat-Bulk).

Cell lengths 8.7375, 8.7375, 6.1791 Å; angles 90.00, 90.00, 120.00 degrees
Space group P6_3/mcm (No. 193)
Symmetry-distinct sites (fractional):
1 Ca 0.0000 0.0000 0.0000 (multiplicity 2)
2 Ca 0.0000 0.3674 0.2500 (multiplicity 6)
3 Si 0.0000 0.3091 0.7500 (multiplicity 6)
4 Si 0.3333 0.6667 0.0000 (multiplicity 4)

Results
The value obtained for the total magnetic moment is 0.0 μB/f.u. As for the uncorrected formation energy: 4 meV per atom. For the calculated total energy, the calculation gives -0.14326 Ha/atom. For the density of states at the Fermi level, the calculation gives 0.318 states/eV per atom.



(3)
# NaBe3Ge

A relaxed structure of NaBe3Ge (PBE-GGA, Alexandria via LeMat-Bulk).

Cell lengths 4.4632, 4.4632, 4.4632 Å; angles 90.00, 90.00, 90.00 degrees
Space group Pm-3m (No. 221)
Symmetry-distinct sites (fractional):
1 Na 0.0000 0.0000 0.0000 (multiplicity 1)
2 Be 0.0000 0.0000 0.5000 (multiplicity 3)
3 Ge 0.5000 0.5000 0.5000 (multiplicity 1)

Results
The value obtained for the total magnetic moment is 0.0 μB/f.u. For the calculated total energy, the calculation gives -0.05965 Ha/atom. The polymorph energy (0 for the lowest one) comes out at 0.936 eV per atom. For the density of states at the Fermi level, the calculation gives 0.344 states/eV per atom. As for the formation energy: 1.800 eV/atom.



(4)
# PuInNi2H8

A relaxed structure of PuInNi2H8 (PBE-GGA, Alexandria via LeMat-Bulk).

Cell lengths 4.4493, 4.4493, 18.9695 Å; angles 90.00, 90.00, 120.00 degrees
Space group R-3 (No. 148, hexagonal axes)
Symmetry-distinct sites (fractional):
1 Pu 0.0000 0.0000 0.0000 (multiplicity 3)
2 In 0.0000 0.0000 0.5000 (multiplicity 3)
3 Ni 0.0000 0.0000 0.2424 (multiplicity 6)
4 H 0.0000 0.0000 0.3250 (multiplicity 6)
5 H 0.0073 0.2978 0.9018 (multiplicity 18)

Results
The value obtained for the total magnetic moment is 5.4 μB/f.u. For the calculated total energy, the calculation gives -0.16823 Ha/atom. For the density of states at the Fermi level, the calculation gives 0.946 states/eV per atom.



(5)
# Ba3LaBe

A relaxed structure of Ba3LaBe (PBE-GGA, Alexandria via LeMat-Bulk).

Cell lengths 6.4098, 6.4098, 6.4098 Å; angles 90.00, 90.00, 90.00 degrees
Space group Pm-3m (No. 221)
Symmetry-distinct sites (fractional):
1 Ba 0.0000 0.0000 0.5000 (multiplicity 3)
2 La 0.0000 0.0000 0.0000 (multiplicity 1)
3 Be 0.5000 0.5000 0.5000 (multiplicity 1)

Results
The value obtained for the total magnetic moment is 0.6 μB/f.u. For the calculated total energy, the calculation gives -0.06640 Ha/atom. The polymorph energy (0 for the lowest one) comes out at 0.559 eV per atom. For the density of states at the Fermi level, the calculation gives 1.294 states/eV per atom. As for the formation energy: 1.078 eV/atom.



(6)
# DySiHg

A relaxed structure of DySiHg (PBE-GGA, Alexandria via LeMat-Bulk).

Cell lengths 4.3313, 4.3313, 4.1247 Å; angles 90.00, 90.00, 120.00 degrees
Space group P3m1 (No. 156)
Symmetry-distinct sites (fractional):
1 Dy 0.0000 0.0000 0.0000 (multiplicity 1)
2 Si 0.6667 0.3333 0.4128 (multiplicity 1)
3 Hg 0.3333 0.6667 0.5569 (multiplicity 1)

Results
The value obtained for the total magnetic moment is 0.0 μB/f.u. As for the uncorrected formation energy: -398 meV per atom. For the calculated total energy, the calculation gives -0.14114 Ha/atom. The polymorph energy (0 for the lowest one) comes out at 0.130 eV per atom. For the density of states at the Fermi level, the calculation gives 0.470 states/eV per atom.



(7)
# NaHf3Tc

A relaxed structure of NaHf3Tc (PBE-GGA, Alexandria via LeMat-Bulk).

Cell lengths 5.0780, 5.0780, 5.0780 Å; angles 90.00, 90.00, 90.00 degrees
Space group Pm-3m (No. 221)
Symmetry-distinct sites (fractional):
1 Na 0.0000 0.0000 0.0000 (multiplicity 1)
2 Hf 0.0000 0.5000 0.5000 (multiplicity 3)
3 Tc 0.5000 0.5000 0.5000 (multiplicity 1)

Results
The value obtained for the total magnetic moment is 0.8 μB/f.u. For the calculated total energy, the calculation gives -0.28539 Ha/atom. The polymorph energy (0 for the lowest one) comes out at 0.000 eV per atom. For the density of states at the Fermi level, the calculation gives 1.457 states/eV per atom. As for the formation energy: 0.543 eV/atom.



(8)
# ReSn3Pt

A relaxed structure of ReSn3Pt (PBE-GGA, Alexandria via LeMat-Bulk).

Cell lengths 5.1646, 5.1646, 5.1646 Å; angles 90.00, 90.00, 90.00 degrees
Space group Pm-3m (No. 221)
Symmetry-distinct sites (fractional):
1 Re 0.0000 0.0000 0.0000 (multiplicity 1)
2 Sn 0.0000 0.5000 0.5000 (multiplicity 3)
3 Pt 0.5000 0.5000 0.5000 (multiplicity 1)

Results
The value obtained for the total magnetic moment is 3.5 μB/f.u. For the calculated total energy, the calculation gives -0.18341 Ha/atom. The polymorph energy (0 for the lowest one) comes out at 0.477 eV per atom. For the density of states at the Fermi level, the calculation gives 1.038 states/eV per atom. As for the formation energy: 1.109 eV/atom.



(9)
# Li2Pm2PrGe2

A relaxed structure of Li2Pm2PrGe2 (PBE-GGA, Alexandria via LeMat-Bulk).

Cell lengths 4.5519, 4.5519, 27.9785 Å; angles 90.00, 90.00, 120.00 degrees
Space group R-3m (No. 166, hexagonal axes)
Symmetry-distinct sites (fractional):
1 Li 0.0000 0.0000 0.0983 (multiplicity 6)
2 Pm 0.0000 0.0000 0.3725 (multiplicity 6)
3 Pr 0.0000 0.0000 0.5000 (multiplicity 3)
4 Ge 0.0000 0.0000 0.2372 (multiplicity 6)

Results
The value obtained for the total magnetic moment is 0.0 μB/f.u. For the calculated total energy, the calculation gives -0.16147 Ha/atom. For the density of states at the Fermi level, the calculation gives 0.538 states/eV per atom. As for the formation energy: -0.488 eV/atom.



(10)
# Ir4Se

A relaxed structure of Ir4Se (PBE-GGA, Alexandria via LeMat-Bulk).

Cell lengths 3.6630, 3.6630, 12.6636 Å; angles 90.00, 90.00, 90.00 degrees
Space group I4/mmm (No. 139)
Symmetry-distinct sites (fractional):
1 Ir 0.0000 0.0000 0.1002 (multiplicity 4)
2 Ir 0.0000 0.5000 0.2500 (multiplicity 4)
3 Se 0.0000 0.0000 0.5000 (multiplicity 2)

Results
The value obtained for the total magnetic moment is 0.0 μB/f.u. As for the uncorrected formation energy: 562 meV per atom. For the calculated total energy, the calculation gives -0.26547 Ha/atom. For the density of states at the Fermi level, the calculation gives 1.058 states/eV per atom.



(11)
# Sb2AsO

A relaxed structure of Sb2AsO (PBE-GGA, Alexandria via LeMat-Bulk).

Cell lengths 5.2304, 5.2304, 14.1617 Å; angles 90.00, 90.00, 90.00 degrees
Space group I-42d (No. 122)
Symmetry-distinct sites (fractional):
1 Sb 0.1551 0.2500 0.1250 (multiplicity 8)
2 As 0.0000 0.0000 0.5000 (multiplicity 4)
3 O 0.0000 0.0000 0.0000 (multiplicity 4)

Results
The value obtained for the total magnetic moment is 0.0 μB/f.u. As for the uncorrected formation energy: -151 meV per atom. For the calculated total energy, the calculation gives -0.16957 Ha/atom. The polymorph energy (0 for the lowest one) comes out at 0.000 eV per atom. For the density of states at the Fermi level, the calculation gives 0.628 states/eV per atom.



(12)
# BaCd2Ag2

A relaxed structure of BaCd2Ag2 (PBE-GGA, Alexandria via LeMat-Bulk).

Cell lengths 8.6936, 8.6936, 3.2884 Å; angles 90.00, 90.00, 90.00 degrees
Space group P4/mbm (No. 127)
Symmetry-distinct sites (fractional):
1 Ba 0.0000 0.0000 0.0000 (multiplicity 2)
2 Cd 0.1194 0.3806 0.0000 (multiplicity 4)
3 Ag 0.1754 0.6754 0.5000 (multiplicity 4)

Results
The value obtained for the total magnetic moment is 0.0 μB/f.u. For the calculated total energy, the calculation gives -0.07183 Ha/atom. The polymorph energy (0 for the lowest one) comes out at 0.174 eV per atom. For the density of states at the Fermi level, the calculation gives 0.529 states/eV per atom. As for the formation energy: -0.064 eV/atom.